[1]
First-principles (PBE-GGA) data for a relaxed ZrRuAu4 crystal, as listed in Alexandria via LeMat-Bulk.

uncorrected energy	-30.2	eV/f.u.
magnetization	0.0	μB/f.u.
space-group type	F-43m, No. 216
calculated volume	111	Å³/cell

Unit cell a=5.3955 b=5.3955 c=5.3955 alpha=60.00 beta=60.00 gamma=60.00
Last column: nearest neighbours and their distance in Å.
Element x y z (fractional)
Zr  0.0000  0.0000  0.0000  12 Au 3.16, 4 Ru 3.30
Ru  0.2500  0.2500  0.2500  12 Au 3.16, 4 Zr 3.30
Au  0.1257  0.6248  0.6248  6 Au 2.69-2.70
Au  0.6248  0.1257  0.6248  6 Au 2.69-2.70
Au  0.6248  0.6248  0.1257  6 Au 2.69-2.70
Au  0.6248  0.6248  0.6248  6 Au 2.69-2.70

[2]
First-principles (PBE-GGA) data for a relaxed BeAgAu2 crystal, as listed in Alexandria via LeMat-Bulk.

uncorrected energy	-12.7	eV/f.u.
magnetization	0.0	μB/f.u.
space-group type	P4/mmm, No. 123
calculated volume	64	Å³/cell

Unit cell a=4.1602 b=4.1602 c=3.7041 alpha=90.00 beta=90.00 gamma=90.00
Last column: nearest neighbours and their distance in Å.
Element x y z (fractional)
Be  0.0000  0.0000  0.0000  8 Au 2.79, 4 Ag 2.94
Ag  0.5000  0.5000  0.0000  8 Au 2.79, 4 Be 2.94
Au  0.0000  0.5000  0.5000  4 Be 2.79, 4 Ag 2.79, 4 Au 2.94
Au  0.5000  0.0000  0.5000  4 Be 2.79, 4 Ag 2.79, 4 Au 2.94

[3]
First-principles (PBE-GGA) data for a relaxed Er8Zn2Ru crystal, as listed in Alexandria via LeMat-Bulk.

uncorrected energy	-50.7	eV/f.u.
magnetization	0.0	μB/f.u.
space-group type	C2/m, No. 12
calculated volume	280	Å³/cell

Unit cell a=8.9619 b=8.9619 c=6.7194 alpha=107.81 beta=107.81 gamma=33.26
Last column: nearest neighbours and their distance in Å.
Element x y z (fractional)
Er  0.0261  0.0261  0.2890  1 Zn 2.91, 2 Ru 3.03, 1 Er 3.23
Er  0.1975  0.1975  0.8056  1 Zn 2.82
Er  0.3400  0.3400  0.5344  1 Ru 2.83, 1 Zn 2.86
Er  0.4086  0.4086  0.0664  1 Ru 2.83
Er  0.5914  0.5914  0.9336  1 Ru 2.83
Er  0.6600  0.6600  0.4656  1 Ru 2.83, 1 Zn 2.86
Er  0.8025  0.8025  0.1944  1 Zn 2.82
Er  0.9739  0.9739  0.7110  1 Zn 2.91, 2 Ru 3.03, 1 Er 3.23
Zn  0.1834  0.1834  0.2127  3 Er 2.82-2.91
Zn  0.8166  0.8166  0.7873  3 Er 2.82-2.91
Ru  0.5000  0.5000  0.5000  8 Er 2.83-3.03

[4]
First-principles (PBE-GGA) data for a relaxed Er2SbPb crystal, as listed in Alexandria via LeMat-Bulk.

formation energy (no corrections)	-2.8	eV/f.u.
magnetization	0.0	μB/f.u.
space-group type	R-3m, No. 166
calculated volume	119	Å³/cell

Unit cell a=8.1160 b=8.1160 c=8.1160 alpha=30.08 beta=30.08 gamma=30.08
Last column: nearest neighbours and their distance in Å.
Element x y z (fractional)
Er  0.2451  0.2451  0.2451  3 Sb 3.04, 3 Pb 3.18
Er  0.7549  0.7549  0.7549  3 Sb 3.04, 3 Pb 3.18
Sb  0.5000  0.5000  0.5000  6 Er 3.04
Pb  0.0000  0.0000  0.0000  6 Er 3.18

[5]
First-principles (PBE-GGA) data for a relaxed Dy8Tl2Ru crystal, as listed in Alexandria via LeMat-Bulk.

uncorrected energy	-53.2	eV/f.u.
magnetization	0.0	μB/f.u.
space-group type	C2/m, No. 12
calculated volume	308	Å³/cell

Unit cell a=9.1823 b=9.1823 c=6.9807 alpha=111.10 beta=111.10 gamma=34.36
Last column: nearest neighbours and their distance in Å.
Element x y z (fractional)
Dy  0.0128  0.0128  0.2764  2 Ru 3.18, 1 Tl 3.22, 6 Dy 3.29-3.56
Dy  0.1950  0.1950  0.7599  3 Tl 3.14-3.41, 3 Dy 3.47-3.51
Dy  0.3575  0.3575  0.5750  1 Ru 2.74
Dy  0.4036  0.4036  0.0887  1 Ru 2.73
Dy  0.5964  0.5964  0.9113  1 Ru 2.73
Dy  0.6425  0.6425  0.4250  1 Ru 2.74
Dy  0.8050  0.8050  0.2401  3 Tl 3.14-3.41, 3 Dy 3.47-3.51
Dy  0.9872  0.9872  0.7236  2 Ru 3.18, 1 Tl 3.22, 6 Dy 3.29-3.56
Tl  0.1822  0.1822  0.1966  9 Dy 3.14-3.41
Tl  0.8178  0.8178  0.8034  9 Dy 3.14-3.41
Ru  0.5000  0.5000  0.5000  4 Dy 2.73-2.74

[6]
First-principles (PBE-GGA) data for a relaxed BaIn4Hg4 crystal, as listed in Alexandria via LeMat-Bulk.

uncorrected energy	-15.5	eV/f.u.
magnetization	0.0	μB/f.u.
space-group type	P4_2/n, No. 86
calculated volume	526	Å³/cell

Unit cell a=9.6060 b=9.6060 c=5.6960 alpha=90.00 beta=90.00 gamma=90.00
Last column: nearest neighbours and their distance in Å.
Element x y z (fractional)
Ba  0.2500  0.2500  0.2500  4 In 3.56, 8 Hg 3.72
Ba  0.7500  0.7500  0.7500  4 In 3.56, 8 Hg 3.72
In  0.1121  0.8303  0.7488  4 Hg 3.02-3.18, 1 In 3.07
In  0.1697  0.6121  0.2488  4 Hg 3.02-3.18, 1 In 3.07
In  0.3303  0.8879  0.2488  4 Hg 3.02-3.18, 1 In 3.07
In  0.3879  0.6697  0.7488  4 Hg 3.02-3.18, 1 In 3.07
In  0.6121  0.3303  0.2512  4 Hg 3.02-3.18, 1 In 3.07
In  0.6697  0.1121  0.7512  4 Hg 3.02-3.18, 1 In 3.07
In  0.8303  0.3879  0.7512  4 Hg 3.02-3.18, 1 In 3.07
In  0.8879  0.1697  0.2512  4 Hg 3.02-3.18, 1 In 3.07
Hg  0.0298  0.1336  0.7509  4 In 3.02-3.18
Hg  0.1336  0.4702  0.7491  4 In 3.02-3.18
Hg  0.3664  0.0298  0.7491  4 In 3.02-3.18
Hg  0.4702  0.3664  0.7509  4 In 3.02-3.18
Hg  0.5298  0.6336  0.2491  4 In 3.02-3.18
Hg  0.6336  0.9702  0.2509  4 In 3.02-3.18
Hg  0.8664  0.5298  0.2509  4 In 3.02-3.18
Hg  0.9702  0.8664  0.2491  4 In 3.02-3.18